Material: TaMnNi4
Method: DFT, PBE
State: relaxed

It has space group I4_1/a (No. 88, origin choice 2), with a = 6.249 Å, b = 6.249 Å, c = 8.578 Å, α = 90.00°, β = 90.00° and γ = 90.00°. The distinct sites, in fractional coordinates, are Ta at (0.000, 0.250, 0.125), Mn at (0.000, 0.250, 0.625) and Ni at (0.131, 0.399, 0.387).

The calculation puts the calculated density at 9333 kg/m³. As for the density of states at the Fermi level: 5.47 states/eV/f.u. For the total energy, the calculation gives -168.9 eV for the cell shown. As for the formation energy: 0.321 eV/atom.